VASP calculation (GGA-PBE) on a relaxed structure of ZrHSeBr2.

Cell lengths 5.4308, 5.4308, 5.1292 Å; angles 90.00, 90.00, 90.00 degrees
Last column: magnetic moment on the atom in μB.
Atoms (fractional coordinates):
1 H 0.5000 0.5000 0.5000  0.38
2 Se 0.0000 0.0000 0.5000  0.01
3 Br 0.0000 0.5000 0.0000  0.01
4 Br 0.5000 0.0000 0.0000  0.01
5 Zr 0.0000 0.0000 0.0000  0.01

VASP energy in eV/atom: -4.1563
Excess energy over the best structure of this formula in the dataset in meV per atom: 0
Space group: P4/mmm, No. 123